CsNdV2O6 | the Alexandria database | GGA+U | optimized geometry; density = 4.5 Mg/m³; volume = 17.71 Å³ per atom; electronic total energy = -0.270 Ha/atom; SG = C2/c (15)
1.0
5.569 -5.258 0.000
5.569 5.258 0.000
-1.395 0.000 6.047
Cs Nd V O
2 2 4 12
Cartesian
4.523 3.397 4.535
5.220 -3.397 1.512
5.220 1.107 1.512
4.523 -1.107 4.535
1.326 0.890 4.917
2.023 -0.890 1.894
7.719 0.890 4.154
8.417 -0.890 1.130
3.573 2.803 1.496
1.850 0.089 0.304
1.152 -0.089 3.328
3.100 0.678 5.328
6.867 2.803 1.527
3.798 -0.678 2.305
5.945 0.678 3.743
2.876 -2.803 4.520
6.643 -0.678 0.719
8.591 0.089 2.719
7.893 -0.089 5.743
6.169 -2.803 4.551